# 1
First-principles (GGA-PBE) data for a relaxed structure of NaCd7Au4, as listed in the Alexandria database.

Unit cell a=6.9144 b=6.9144 c=10.1271 alpha=122.90 beta=122.90 gamma=43.26
Atoms (fractional coordinates):
1 Na 0.0000 0.0000 0.0000
2 Cd 0.0680 0.0680 0.3591
3 Cd 0.2136 0.2136 0.8743
4 Cd 0.3432 0.3432 0.4113
5 Cd 0.5000 0.5000 0.0000
6 Cd 0.6568 0.6568 0.5887
7 Cd 0.7864 0.7864 0.1257
8 Cd 0.9320 0.9320 0.6409
9 Au 0.3006 0.3006 0.6696
10 Au 0.4276 0.4276 0.2130
11 Au 0.5724 0.5724 0.7870
12 Au 0.6994 0.6994 0.3304

Calculated values
For the calculated volume, the calculation gives 22.44 Å³/atom. The value obtained for the energy is -1.8343 eV per atom. The value obtained for the magnetic moment is 0.00 Bohr magnetons per cell.


# 2
First-principles (GGA-PBE) data for a relaxed structure of Na3Cd4Au2, as listed in the Alexandria database.

Unit cell a=4.9264 b=5.9402 c=8.2586 alpha=104.90 beta=90.20 gamma=113.37
Atoms (fractional coordinates):
1 Na 0.0000 0.0000 0.0000
2 Na 0.4664 0.9341 0.6881
3 Na 0.5336 0.0659 0.3119
4 Cd 0.1466 0.2957 0.5546
5 Cd 0.2862 0.5757 0.9294
6 Cd 0.7138 0.4243 0.0706
7 Cd 0.8534 0.7043 0.4454
8 Au 0.2500 0.4940 0.2680
9 Au 0.7500 0.5060 0.7320

Calculated values
For the calculated volume, the calculation gives 23.65 Å³/atom. The distance to the lowest polymorph of the same formula comes out at 0.00 kcal/mol of atoms. The value obtained for the energy is -1.8040 eV per atom. The value obtained for the magnetic moment is 0.00 Bohr magnetons per cell.


# 3
First-principles (GGA-PBE) data for a relaxed structure of NaCd2Au, as listed in the Alexandria database.

Unit cell a=4.8946 b=4.8946 c=4.8946 alpha=60.00 beta=60.00 gamma=60.00
Atoms (fractional coordinates):
1 Na 0.0000 0.0000 0.0000
2 Cd 0.2500 0.2500 0.2500
3 Cd 0.7500 0.7500 0.7500
4 Au 0.5000 0.5000 0.5000

Calculated values
For the calculated volume, the calculation gives 20.73 Å³/atom. The distance to the lowest polymorph of the same formula comes out at 1.16 kcal/mol of atoms. The value obtained for the energy is -1.8069 eV per atom. The value obtained for the magnetic moment is 0.00 Bohr magnetons per cell.


# 4
First-principles (GGA-PBE) data for a relaxed structure of Na2CdAu, as listed in the Alexandria database.

Unit cell a=4.5514 b=4.5514 c=4.4410 alpha=90.00 beta=90.00 gamma=90.00
Atoms (fractional coordinates):
1 Na 0.0000 0.5000 0.0000
2 Na 0.5000 0.0000 0.0000
3 Cd 0.0000 0.0000 0.5000
4 Au 0.5000 0.5000 0.5000

Calculated values
For the calculated volume, the calculation gives 23.00 Å³/atom. The value obtained for the energy is -1.8978 eV per atom. The value obtained for the magnetic moment is 0.00 Bohr magnetons per cell.


# 5
First-principles (GGA-PBE) data for a relaxed structure of NaCdAu6, as listed in the Alexandria database.

Unit cell a=5.3716 b=5.3716 c=5.3716 alpha=90.00 beta=90.00 gamma=90.00
Atoms (fractional coordinates):
1 Na 0.0000 0.0000 0.0000
2 Cd 0.5000 0.5000 0.5000
3 Au 0.0000 0.2502 0.5000
4 Au 0.0000 0.7498 0.5000
5 Au 0.2502 0.5000 0.0000
6 Au 0.5000 0.0000 0.2502
7 Au 0.5000 0.0000 0.7498
8 Au 0.7498 0.5000 0.0000

Calculated values
For the calculated volume, the calculation gives 19.37 Å³/atom. The value obtained for the energy is -2.8172 eV per atom. The value obtained for the magnetic moment is 0.00 Bohr magnetons per cell.


# 6
First-principles (GGA-PBE) data for a relaxed structure of Na2Cd9Au4, as listed in the Alexandria database.

Unit cell a=4.8081 b=4.8081 c=16.8870 alpha=90.00 beta=90.00 gamma=120.00
Atoms (fractional coordinates):
1 Na 0.3333 0.6667 0.2589
2 Na 0.6667 0.3333 0.7411
3 Cd 0.0000 0.0000 0.0000
4 Cd 0.0000 0.0000 0.1747
5 Cd 0.0000 0.0000 0.3539
6 Cd 0.0000 0.0000 0.6461
7 Cd 0.0000 0.0000 0.8253
8 Cd 0.3333 0.6667 0.0692
9 Cd 0.3333 0.6667 0.4457
10 Cd 0.6667 0.3333 0.5543
11 Cd 0.6667 0.3333 0.9308
12 Au 0.3333 0.6667 0.6138
13 Au 0.3333 0.6667 0.8810
14 Au 0.6667 0.3333 0.1190
15 Au 0.6667 0.3333 0.3862

Calculated values
For the calculated volume, the calculation gives 22.54 Å³/atom. The value obtained for the energy is -1.7431 eV per atom. The value obtained for the magnetic moment is 0.00 Bohr magnetons per cell.


# 7
First-principles (GGA-PBE) data for a relaxed structure of NaCd4Au7, as listed in the Alexandria database.

Unit cell a=6.2135 b=6.2135 c=10.3250 alpha=118.53 beta=118.53 gamma=49.18
Atoms (fractional coordinates):
1 Na 0.0000 0.0000 0.0000
2 Cd 0.1847 0.1847 0.7783
3 Cd 0.4033 0.4033 0.6711
4 Cd 0.5967 0.5967 0.3289
5 Cd 0.8153 0.8153 0.2217
6 Au 0.1019 0.1019 0.4642
7 Au 0.2623 0.2623 0.3329
8 Au 0.3152 0.3152 0.0981
9 Au 0.5000 0.5000 0.0000
10 Au 0.6848 0.6848 0.9019
11 Au 0.7377 0.7377 0.6671
12 Au 0.8981 0.8981 0.5358

Calculated values
For the calculated volume, the calculation gives 21.39 Å³/atom. The value obtained for the energy is -2.4562 eV per atom. The value obtained for the magnetic moment is 0.00 Bohr magnetons per cell.


# 8
First-principles (GGA-PBE) data for a relaxed structure of Na8CdAu2, as listed in the Alexandria database.

Unit cell a=9.1814 b=9.1814 c=7.6403 alpha=111.41 beta=111.41 gamma=31.21
Atoms (fractional coordinates):
1 Na 0.0307 0.0307 0.2583
2 Na 0.1896 0.1896 0.7849
3 Na 0.3256 0.3256 0.5620
4 Na 0.3959 0.3959 0.0377
5 Na 0.6041 0.6041 0.9623
6 Na 0.6744 0.6744 0.4380
7 Na 0.8104 0.8104 0.2151
8 Na 0.9693 0.9693 0.7417
9 Cd 0.5000 0.5000 0.5000
10 Au 0.1863 0.1863 0.1835
11 Au 0.8137 0.8137 0.8165

Calculated values
For the calculated volume, the calculation gives 28.08 Å³/atom. The value obtained for the energy is -1.7979 eV per atom. The value obtained for the magnetic moment is 0.00 Bohr magnetons per cell.


no.,energy relative to the elements (eV per atom)
1,-0.0981
2,-0.2293
3,-0.2002
4,-0.1901
5,-0.0799
6,-0.1442
7,-0.1295
8,-0.1595